NbSbPtI2 after structural relaxation, computed with PBE.

The structure belongs to space group P4/mmm (No. 123); the cell edges are 5.442, 5.442 and 5.220 Å and the angles 90.00°, 90.00° and 90.00°. The distinct sites, in fractional coordinates, are Nb at (0.000, 0.000, 0.000), Sb at (0.500, 0.500, 0.000), Pt at (0.500, 0.500, 0.500) and I at (0.000, 0.500, 0.500).

The uncorrected formation energy is 0.910 eV/atom.